Compound: AcYCdIr
Source: the Alexandria database
Functional: PBE
Structure: relaxed

The structure in CIF format:
```
data_AcYCdIr
_symmetry_space_group_name_H-M 'F -4 3 m'
_symmetry_Int_Tables_number 216
_symmetry_space_group_name_Hall 'F -4 2 3'
_cell_length_a 7.4653
_cell_length_b 7.4653
_cell_length_c 7.4653
_cell_angle_alpha 90.00
_cell_angle_beta 90.00
_cell_angle_gamma 90.00
loop_
_atom_site_label
_atom_site_type_symbol
_atom_site_fract_x
_atom_site_fract_y
_atom_site_fract_z
Ac1 Ac 0.0000 0.0000 0.0000
Y1 Y 0.0000 0.0000 0.5000
Cd1 Cd 0.2500 0.2500 0.2500
Ir1 Ir 0.2500 0.2500 0.7500
```

Computed properties:
calculated total energy: -5.45 eV per atom
DOS(E_F): 2.29 states/eV/f.u.
density: 9.91 g/cm³
crystal system: cubic
calculated formation energy: -368 meV per atom

=====

Compound: Ac2ZnCdIr
Source: the Alexandria database
Functional: PBE
Structure: relaxed

The structure in CIF format:
```
data_Ac2ZnCdIr
_symmetry_space_group_name_H-M 'P 1 21/m 1'
_symmetry_Int_Tables_number 11
_symmetry_space_group_name_Hall '-P 2yb'
_cell_length_a 7.7957
_cell_length_b 4.6341
_cell_length_c 8.3191
_cell_angle_alpha 90.00
_cell_angle_beta 108.75
_cell_angle_gamma 90.00
loop_
_atom_site_label
_atom_site_type_symbol
_atom_site_fract_x
_atom_site_fract_y
_atom_site_fract_z
Ac1 Ac 0.1357 0.2500 0.3405
Ac2 Ac 0.2719 0.2500 0.9460
Zn1 Zn 0.4442 0.7500 0.3133
Cd1 Cd 0.3487 0.7500 0.6515
Ir1 Ir 0.1277 0.7500 0.0947
```

Computed properties:
calculated total energy: -4.28 eV per atom
DOS(E_F): 3.51 states/eV/f.u.
density: 9.62 g/cm³
crystal system: monoclinic
calculated formation energy: -431 meV per atom

=====

Compound: KAcCd10
Source: the Alexandria database
Functional: PBE
Structure: relaxed

The structure in CIF format:
```
data_KAcCd10
_symmetry_space_group_name_H-M 'P m m m'
_symmetry_Int_Tables_number 47
_symmetry_space_group_name_Hall '-P 2 2'
_cell_length_a 4.8708
_cell_length_b 6.1260
_cell_length_c 10.6386
_cell_angle_alpha 90.00
_cell_angle_beta 90.00
_cell_angle_gamma 90.00
loop_
_atom_site_label
_atom_site_type_symbol
_atom_site_fract_x
_atom_site_fract_y
_atom_site_fract_z
K1 K 0.0000 0.0000 0.0000
Ac1 Ac 0.0000 0.5000 0.5000
Cd1 Cd 0.0000 0.0000 0.3266
Cd2 Cd 0.0000 0.5000 0.1616
Cd3 Cd 0.5000 0.0000 0.5000
Cd4 Cd 0.5000 0.2604 0.2646
Cd5 Cd 0.5000 0.5000 0.0000
```

Computed properties:
calculated total energy: -1.34 eV per atom
DOS(E_F): 6.59 states/eV/f.u.
density: 7.27 g/cm³
crystal system: orthorhombic
calculated formation energy: -143 meV per atom

=====

Compound: K3Ac2CdO6
Source: the Alexandria database
Functional: PBE
Structure: relaxed

The structure in CIF format:
```
data_K3Ac2CdO6
_symmetry_space_group_name_H-M 'C 1 2/m 1'
_symmetry_Int_Tables_number 12
_symmetry_space_group_name_Hall '-C 2y'
_cell_length_a 6.3210
_cell_length_b 11.4015
_cell_length_c 6.6308
_cell_angle_alpha 90.00
_cell_angle_beta 106.62
_cell_angle_gamma 90.00
loop_
_atom_site_label
_atom_site_type_symbol
_atom_site_fract_x
_atom_site_fract_y
_atom_site_fract_z
K1 K 0.0000 0.0000 0.0000
K2 K 0.0000 0.3443 0.0000
Ac1 Ac 0.0000 0.1652 0.5000
Cd1 Cd 0.0000 0.5000 0.5000
O1 O 0.2403 0.3324 0.7075
O2 O 0.2434 0.0000 0.6933
```

Computed properties:
E_form (uncorrected): -1.991 eV per atom
calculated total energy: -5.51 eV per atom
DOS(E_F): 8.59 states/eV/f.u.
density: 5.65 g/cm³
crystal system: monoclinic

=====

Compound: K4Ac3CdO8
Source: the Alexandria database
Functional: PBE
Structure: relaxed

The structure in CIF format:
```
data_K4Ac3CdO8
_symmetry_space_group_name_H-M 'C 1 2/m 1'
_symmetry_Int_Tables_number 12
_symmetry_space_group_name_Hall '-C 2y'
_cell_length_a 13.2202
_cell_length_b 7.4419
_cell_length_c 7.6541
_cell_angle_alpha 90.00
_cell_angle_beta 123.73
_cell_angle_gamma 90.00
loop_
_atom_site_label
_atom_site_type_symbol
_atom_site_fract_x
_atom_site_fract_y
_atom_site_fract_z
K1 K 0.0000 0.0000 0.0000
K2 K 0.0000 0.5000 0.0000
K3 K 0.2500 0.2500 0.0000
Ac1 Ac 0.0000 0.0000 0.5000
Ac2 Ac 0.2500 0.2500 0.5000
Cd1 Cd 0.0000 0.5000 0.5000
O1 O 0.0171 0.2552 0.3044
O2 O 0.2309 0.0000 0.6989
O3 O 0.2483 0.5000 0.7134
```

Computed properties:
E_form (uncorrected): -2.124 eV per atom
calculated total energy: -5.70 eV per atom
DOS(E_F): 14.14 states/eV/f.u.
density: 5.72 g/cm³
crystal system: monoclinic

=====

Compound: K3Ac3CdO8
Source: the Alexandria database
Functional: PBE
Structure: relaxed

The structure in CIF format:
```
data_K3Ac3CdO8
_symmetry_space_group_name_H-M 'C 1 2/m 1'
_symmetry_Int_Tables_number 12
_symmetry_space_group_name_Hall '-C 2y'
_cell_length_a 13.0388
_cell_length_b 7.5373
_cell_length_c 7.6816
_cell_angle_alpha 90.00
_cell_angle_beta 124.53
_cell_angle_gamma 90.00
loop_
_atom_site_label
_atom_site_type_symbol
_atom_site_fract_x
_atom_site_fract_y
_atom_site_fract_z
K1 K 0.0000 0.0000 0.0000
K2 K 0.2500 0.2500 0.0000
Ac1 Ac 0.0000 0.5000 0.5000
Ac2 Ac 0.2500 0.2500 0.5000
Cd1 Cd 0.0000 0.0000 0.5000
O1 O 0.0162 0.2362 0.3123
O2 O 0.2190 0.0000 0.6870
O3 O 0.2317 0.5000 0.6948
```

Computed properties:
E_form (uncorrected): -2.075 eV per atom
calculated total energy: -5.82 eV per atom
DOS(E_F): 11.64 states/eV/f.u.
density: 5.55 g/cm³
crystal system: monoclinic

=====

Compound: KAcCdO3
Source: the Alexandria database
Functional: PBE
Structure: relaxed

The structure in CIF format:
```
data_KAcCdO3
_symmetry_space_group_name_H-M 'P 1 21/m 1'
_symmetry_Int_Tables_number 11
_symmetry_space_group_name_Hall '-P 2yb'
_cell_length_a 7.6297
_cell_length_b 3.8834
_cell_length_c 10.0954
_cell_angle_alpha 90.00
_cell_angle_beta 107.16
_cell_angle_gamma 90.00
loop_
_atom_site_label
_atom_site_type_symbol
_atom_site_fract_x
_atom_site_fract_y
_atom_site_fract_z
K1 K 0.1710 0.2500 0.1326
Ac1 Ac 0.3364 0.7500 0.8471
Cd1 Cd 0.0051 0.2500 0.6218
O1 O 0.1005 0.2500 0.8471
O2 O 0.1602 0.7500 0.5930
O3 O 0.4444 0.7500 0.1051
```

Computed properties:
E_form (uncorrected): -1.974 eV per atom
calculated total energy: -5.47 eV per atom
DOS(E_F): 0.00 states/eV/f.u.
density: 4.96 g/cm³
crystal system: monoclinic

=====

Compound: KAc2CdO4
Source: the Alexandria database
Functional: PBE
Structure: relaxed

The structure in CIF format:
```
data_KAc2CdO4
_symmetry_space_group_name_H-M 'C m c m'
_symmetry_Int_Tables_number 63
_symmetry_space_group_name_Hall '-C 2c 2'
_cell_length_a 3.9640
_cell_length_b 13.8324
_cell_length_c 12.6348
_cell_angle_alpha 90.00
_cell_angle_beta 90.00
_cell_angle_gamma 90.00
loop_
_atom_site_label
_atom_site_type_symbol
_atom_site_fract_x
_atom_site_fract_y
_atom_site_fract_z
K1 K 0.0000 0.0184 0.2500
Ac1 Ac 0.0000 0.3685 0.0501
Cd1 Cd 0.0000 0.2560 0.7500
O1 O 0.0000 0.0000 0.0000
O2 O 0.0000 0.2317 0.5785
O3 O 0.0000 0.3788 0.2500
```

Computed properties:
E_form (uncorrected): -2.251 eV per atom
calculated total energy: -6.01 eV per atom
DOS(E_F): 1.65 states/eV/f.u.
density: 6.42 g/cm³
crystal system: orthorhombic

=====

Compound: K2AcCd2S4
Source: the Alexandria database
Functional: PBE
Structure: relaxed

The structure in CIF format:
```
data_K2AcCd2S4
_symmetry_space_group_name_H-M 'C 1 2/m 1'
_symmetry_Int_Tables_number 12
_symmetry_space_group_name_Hall '-C 2y'
_cell_length_a 16.6102
_cell_length_b 4.2250
_cell_length_c 8.1242
_cell_angle_alpha 90.00
_cell_angle_beta 113.20
_cell_angle_gamma 90.00
loop_
_atom_site_label
_atom_site_type_symbol
_atom_site_fract_x
_atom_site_fract_y
_atom_site_fract_z
K1 K 0.1270 0.0000 0.0572
Ac1 Ac 0.0000 0.0000 0.5000
Cd1 Cd 0.1892 0.5000 0.5203
S1 S 0.0318 0.5000 0.2715
S2 S 0.1946 0.0000 0.7245
```

Computed properties:
E_form (uncorrected): -1.129 eV per atom
calculated total energy: -3.87 eV per atom
DOS(E_F): 2.93 states/eV/f.u.
density: 4.17 g/cm³
crystal system: monoclinic

=====

Compound: K2AcCdSb2
Source: the Alexandria database
Functional: PBE
Structure: relaxed

The structure in CIF format:
```
data_K2AcCdSb2
_symmetry_space_group_name_H-M 'P m c 21'
_symmetry_Int_Tables_number 26
_symmetry_space_group_name_Hall 'P 2c -2'
_cell_length_a 4.8228
_cell_length_b 9.9236
_cell_length_c 8.9997
_cell_angle_alpha 90.00
_cell_angle_beta 90.00
_cell_angle_gamma 90.00
loop_
_atom_site_label
_atom_site_type_symbol
_atom_site_fract_x
_atom_site_fract_y
_atom_site_fract_z
K1 K 0.0000 0.0821 0.0000
K2 K 0.5000 0.1662 0.3262
Ac1 Ac 0.5000 0.4620 0.9382
Cd1 Cd 0.0000 0.3125 0.6051
Sb1 Sb 0.0000 0.4015 0.2016
Sb2 Sb 0.5000 0.1811 0.7227
```

Computed properties:
E_form (uncorrected): -0.581 eV per atom
calculated total energy: -3.16 eV per atom
DOS(E_F): 1.90 states/eV/f.u.
density: 5.10 g/cm³
crystal system: orthorhombic